LaZr2CoF | GGA+U | optimized geometry

Total magnetic moment (μB per cell): 0.000
Final energy (eV/atom): -5.55

abc: 4.530 4.530 6.323
angles: 90.00 90.00 90.00
Space group P4/mmm (No. 123)
Inequivalent atoms, fractional coordinates:
1 La 0.000 0.000 0.000 x1
2 Zr 0.000 0.500 0.500 x2
3 Co 0.500 0.500 0.500 x1
4 F 0.500 0.500 0.000 x1

***

Li6CoF12 | GGA+U | optimized geometry

Total magnetic moment (μB per cell): 9.158
Final energy (eV/atom): -4.29

abc: 8.9195 8.9195 8.7666
angles: 90.00 90.00 120.00
Space group R-3 (No. 148, hexagonal axes)
Inequivalent atoms, fractional coordinates:
1 Li 0.0117 0.7802 0.1231 x18
2 Co 0.0000 0.0000 0.5000 x3
3 F 0.0055 0.8392 0.3835 x18
4 F 0.0098 0.7932 0.8920 x18

***

Li2CoF | GGA+U | optimized geometry

Total magnetic moment (μB per cell): 8.000
Final energy (eV/atom): -3.21

abc: 6.104 6.104 6.104
angles: 90.00 90.00 90.00
Space group Fm-3m (No. 225)
Inequivalent atoms, fractional coordinates:
1 Li 0.250 0.250 0.250 x8
2 Co 0.000 0.000 0.000 x4
3 F 0.000 0.000 0.500 x4

***

Li3CoF | GGA+U | optimized geometry

Offset from the most stable computed form (kJ/mol of atoms): 89.8
Total magnetic moment (μB per cell): 1.271

abc: 4.679 4.679 4.679
angles: 90.00 90.00 90.00
Space group Pm-3m (No. 221)
Inequivalent atoms, fractional coordinates:
1 Li 0.000 0.000 0.500 x3
2 Co 0.000 0.000 0.000 x1
3 F 0.500 0.500 0.500 x1

***

Li3CoF7 | GGA+U | optimized geometry

Total magnetic moment (μB per cell): 2.122
Final energy (eV/atom): -4.50

abc: 7.043 7.090 5.376
angles: 90.00 107.26 90.00
Space group Cm (No. 8)
Inequivalent atoms, fractional coordinates:
1 Li 0.000 0.000 0.000 x2
2 Li 0.123 0.233 0.469 x4
3 Co 0.488 0.000 0.858 x2
4 F 0.025 0.000 0.346 x2
5 F 0.069 0.318 0.099 x4
6 F 0.223 0.500 0.778 x2
7 F 0.242 0.000 0.892 x2
8 F 0.411 0.185 0.610 x4

***

LiCoF2 | GGA+U | optimized geometry

Offset from the most stable computed form (kJ/mol of atoms): 14.2
Total magnetic moment (μB per cell): 8.793

abc: 4.871 4.871 8.366
angles: 90.00 90.00 90.00
Space group I-42d (No. 122)
Inequivalent atoms, fractional coordinates:
1 Li 0.000 0.000 0.000 x4
2 Co 0.000 0.000 0.500 x4
3 F 0.209 0.250 0.125 x8

***

Li3Co3F8 | GGA+U | optimized geometry

Total magnetic moment (μB per cell): 24.000
Final energy (eV/atom): -4.87

abc: 6.0751 6.0751 14.9199
angles: 90.00 90.00 120.00
Space group R-3m (No. 166, hexagonal axes)
Inequivalent atoms, fractional coordinates:
1 Li 0.0000 0.0000 0.0000 x3
2 Li 0.0000 0.0000 0.3780 x6
3 Co 0.0000 0.5000 0.5000 x9
4 F 0.0000 0.0000 0.2476 x6
5 F 0.0186 0.5093 0.7508 x18

***

Li2CoF8 | GGA+U | optimized geometry

Total magnetic moment (μB per cell): 6.029
Final energy (eV/atom): -3.91

abc: 8.784 8.406 4.821
angles: 90.00 115.42 90.00
Space group C2/m (No. 12)
Inequivalent atoms, fractional coordinates:
1 Li 0.208 0.000 0.142 x4
2 Co 0.000 0.500 0.000 x2
3 F 0.008 0.000 0.211 x4
4 F 0.124 0.354 0.923 x8
5 F 0.145 0.500 0.388 x4

***

What is the formula in the fourth record?
Li3CoF

***

Copy entry 7 word for word.
Li3Co3F8 | GGA+U | optimized geometry

Total magnetic moment (μB per cell): 24.000
Final energy (eV/atom): -4.87

abc: 6.0751 6.0751 14.9199
angles: 90.00 90.00 120.00
Space group R-3m (No. 166, hexagonal axes)
Inequivalent atoms, fractional coordinates:
1 Li 0.0000 0.0000 0.0000 x3
2 Li 0.0000 0.0000 0.3780 x6
3 Co 0.0000 0.5000 0.5000 x9
4 F 0.0000 0.0000 0.2476 x6
5 F 0.0186 0.5093 0.7508 x18

***

The lowest total magnetic moment belongs to which entry?
LaZr2CoF

***

Which value of total magnetic moment does entry 7 give?
24.000 μB per cell